No. 1
DFT (PBE) results for SrPu4Ni3S12 after structural relaxation. Values from VASP.

Cell and atoms, written as Quantum ESPRESSO input:
```
&SYSTEM
  ibrav = 0, nat = 20, ntyp = 4
/
ATOMIC_SPECIES
Sr 87.62 Sr.upf
Pu 244.00 Pu.upf
Ni 58.69 Ni.upf
S 32.06 S.upf
CELL_PARAMETERS angstrom
-4.801 4.801 4.801
4.801 -4.801 4.801
4.801 4.801 -4.801
ATOMIC_POSITIONS angstrom
Sr 0.000 0.000 0.000
Pu 2.401 2.401 -2.401
Pu 2.401 -2.401 2.401
Pu -2.401 2.401 2.401
Pu 2.401 2.401 2.401
Ni 4.801 0.000 0.000
Ni 0.000 4.801 0.000
Ni 0.000 0.000 4.801
S 3.114 1.473 0.000
S 6.488 1.473 0.000
S 4.801 -1.687 3.328
S 3.328 4.801 -1.687
S 1.473 0.000 3.114
S 0.000 3.114 1.473
S 4.801 1.687 3.328
S 3.328 4.801 1.687
S 1.473 0.000 6.488
S 0.000 6.488 1.473
S -1.687 3.328 4.801
S 1.687 3.328 4.801
```

Calculated values
volume = 442.7 Å³ per cell
symmetry = Im-3
N(E_F) = 29.76 states/eV per cell
total DFT energy (no corrections) = -7.295 eV per atom
formation energy (no corrections) = -1001 meV/atom


No. 2
DFT (PBE) results for ThNpTc after structural relaxation. Values from VASP.

Cell and atoms, written as Quantum ESPRESSO input:
```
&SYSTEM
  ibrav = 0, nat = 6, ntyp = 3
/
ATOMIC_SPECIES
Th 232.04 Th.upf
Np 237.00 Np.upf
Tc 98.00 Tc.upf
CELL_PARAMETERS angstrom
6.282 -1.662 0.000
6.282 1.662 0.000
-2.705 0.000 6.214
ATOMIC_POSITIONS angstrom
Th -0.617 0.000 1.662
Th 10.477 0.000 4.552
Np 1.210 0.000 5.747
Np 8.650 0.000 0.467
Tc 2.763 0.000 2.544
Tc 7.096 0.000 3.670
```

Calculated values
volume = 129.8 Å³ per cell
symmetry = C2/m
N(E_F) = 10.69 states/eV per cell
total DFT energy (no corrections) = -10.153 eV per atom
ΔE_f = 89 meV per atom


No. 3
DFT (PBE) results for Sr2TlF8 after structural relaxation. Values from VASP.

Cell and atoms, written as Quantum ESPRESSO input:
```
&SYSTEM
  ibrav = 0, nat = 11, ntyp = 3
/
ATOMIC_SPECIES
Sr 87.62 Sr.upf
Tl 204.38 Tl.upf
F 19.00 F.upf
CELL_PARAMETERS angstrom
-2.109 2.702 6.836
2.109 -2.702 6.836
2.109 2.702 -6.836
ATOMIC_POSITIONS angstrom
Sr 0.000 0.000 2.277
Sr 0.000 0.000 11.395
Tl 0.000 0.000 6.836
F 2.109 1.349 -1.696
F 0.000 1.403 0.000
F 2.109 0.000 3.808
F 2.109 1.349 1.696
F 0.000 1.353 5.140
F 0.000 2.702 3.028
F 0.000 4.001 0.000
F 0.000 1.353 8.532
```

Calculated values
volume = 155.8 Å³ per cell
symmetry = Immm
N(E_F) = 7.68 states/eV per cell
total DFT energy (no corrections) = -4.631 eV per atom
formation energy (no corrections) = -2750 meV/atom


No. 4
DFT (PBE) results for Pm3ErSn4 after structural relaxation. Values from VASP.

Cell and atoms, written as Quantum ESPRESSO input:
```
&SYSTEM
  ibrav = 0, nat = 16, ntyp = 3
/
ATOMIC_SPECIES
Pm 145.00 Pm.upf
Er 167.26 Er.upf
Sn 118.71 Sn.upf
CELL_PARAMETERS angstrom
6.314 0.000 0.000
0.000 12.662 0.000
0.000 0.000 6.314
ATOMIC_POSITIONS angstrom
Pm 1.579 12.661 1.570
Pm 1.579 3.165 4.693
Pm 1.579 6.331 1.570
Pm 4.736 0.000 4.744
Pm 4.736 6.331 4.744
Pm 4.736 9.496 1.621
Er 1.579 9.496 4.774
Er 4.736 3.165 1.540
Sn 1.579 3.165 1.536
Sn 1.579 6.369 4.727
Sn 1.579 9.496 1.617
Sn 1.579 12.624 4.727
Sn 4.736 0.038 1.587
Sn 4.736 3.165 4.697
Sn 4.736 6.293 1.587
Sn 4.736 9.496 4.778
```

Calculated values
volume = 504.8 Å³ per cell
symmetry = Pmmn
N(E_F) = 19.64 states/eV per cell
total DFT energy (no corrections) = -4.865 eV per atom
ΔE_f = -512 meV per atom


No. 5
DFT (PBE) results for ZnI2Br after structural relaxation. Values from VASP.

Cell and atoms, written as Quantum ESPRESSO input:
```
&SYSTEM
  ibrav = 0, nat = 8, ntyp = 3
/
ATOMIC_SPECIES
Zn 65.41 Zn.upf
I 126.90 I.upf
Br 79.90 Br.upf
CELL_PARAMETERS angstrom
-3.942 3.942 5.013
3.942 -3.942 5.013
3.942 3.942 -5.013
ATOMIC_POSITIONS angstrom
Zn 0.000 0.000 0.000
Zn 0.000 3.942 2.507
I 5.914 1.287 -1.253
I 1.287 1.971 1.253
I -1.971 2.655 3.760
I 2.655 1.971 6.267
Br 3.942 0.000 2.507
Br 0.000 0.000 5.013
```

Calculated values
volume = 311.7 Å³ per cell
ΔE to the lowest computed polymorph = 0.0000 eV/atom
symmetry = I-42d
N(E_F) = 12.04 states/eV per cell
total DFT energy (no corrections) = -1.658 eV per atom
formation energy (no corrections) = -146 meV/atom


No. 6
DFT (PBE) results for BaTlTc2 after structural relaxation. Values from VASP.

Cell and atoms, written as Quantum ESPRESSO input:
```
&SYSTEM
  ibrav = 0, nat = 4, ntyp = 3
/
ATOMIC_SPECIES
Ba 137.33 Ba.upf
Tl 204.38 Tl.upf
Tc 98.00 Tc.upf
CELL_PARAMETERS angstrom
-2.514 2.514 3.544
2.514 -2.514 3.544
2.514 2.514 -3.544
ATOMIC_POSITIONS angstrom
Ba 0.000 0.000 0.000
Tl 2.514 0.000 1.772
Tc 0.000 0.000 3.544
Tc 0.000 2.514 1.772
```

Calculated values
volume = 89.6 Å³ per cell
ΔE to the lowest computed polymorph = 0.8259 eV/atom
symmetry = I-4m2
N(E_F) = 3.76 states/eV per cell
total DFT energy (no corrections) = -5.119 eV per atom
ΔE_f = 1137 meV per atom